AlOs2Pb, relaxed, DFT PBE; space group = No. 225
1.0
0.0000 3.1916 3.1916
3.1916 0.0000 3.1916
3.1916 3.1916 0.0000
Al Os Pb
1 2 1
direct
0.0000 0.0000 0.0000
0.2500 0.2500 0.2500
0.7500 0.7500 0.7500
0.5000 0.5000 0.5000

---

Y3ErAu, relaxed, DFT PBE; space group = No. 12
1.0
5.7287 -4.2768 0.0000
5.7287 4.2768 0.0000
-4.5588 0.0000 6.3747
Y Er Au
6 2 2
direct
0.0428 0.0428 0.3098
0.1058 0.5060 0.2809
0.4940 0.8942 0.7191
0.5060 0.1058 0.2809
0.8942 0.4940 0.7191
0.9572 0.9572 0.6902
0.4209 0.4209 0.7239
0.5791 0.5791 0.2761
0.2750 0.2750 0.9318
0.7250 0.7250 0.0682

---

What are the calculated density values for these records? In order: 15.70, 6.71 g cm⁻³.
What are the VASP energy values for these records? In order: -27.87, -28.43 eV per formula unit.
What are the energy of formation values for these records? In order: 0.5103, -0.2387 eV/atom.